Record 1
Crystalline Dy2Al2ZnRh5 at its relaxed geometry, computed with GGA-PBE.

Values from the calculation:
Space group = P4/mbm
Final energy = -6.261 eV per atom

abc: 9.897 9.897 3.408
angles: 90.00 90.00 90.00
Positions (direct):
Dy (0.174, 0.326, 0.000)
Dy (0.326, 0.826, 0.000)
Dy (0.674, 0.174, 0.000)
Dy (0.826, 0.674, 0.000)
Al (0.125, 0.625, 0.000)
Al (0.375, 0.125, 0.000)
Al (0.625, 0.875, 0.000)
Al (0.875, 0.375, 0.000)
Zn (0.000, 0.000, 0.000)
Zn (0.500, 0.500, 0.000)
Rh (0.000, 0.500, 0.500)
Rh (0.066, 0.797, 0.500)
Rh (0.203, 0.066, 0.500)
Rh (0.297, 0.566, 0.500)
Rh (0.434, 0.297, 0.500)
Rh (0.500, 0.000, 0.500)
Rh (0.566, 0.703, 0.500)
Rh (0.703, 0.434, 0.500)
Rh (0.797, 0.934, 0.500)
Rh (0.934, 0.203, 0.500)

***

Record 2
Crystalline Dy2AlZn2Rh5 at its relaxed geometry, computed with GGA-PBE.

Values from the calculation:
Space group = P4/mbm
Final energy = -5.902 eV per atom

abc: 9.747 9.747 3.494
angles: 90.00 90.00 90.00
Positions (direct):
Dy (0.172, 0.328, 0.000)
Dy (0.328, 0.828, 0.000)
Dy (0.672, 0.172, 0.000)
Dy (0.828, 0.672, 0.000)
Al (0.000, 0.000, 0.000)
Al (0.500, 0.500, 0.000)
Zn (0.128, 0.628, 0.000)
Zn (0.372, 0.128, 0.000)
Zn (0.628, 0.872, 0.000)
Zn (0.872, 0.372, 0.000)
Rh (0.000, 0.500, 0.500)
Rh (0.064, 0.803, 0.500)
Rh (0.197, 0.064, 0.500)
Rh (0.303, 0.564, 0.500)
Rh (0.436, 0.303, 0.500)
Rh (0.500, 0.000, 0.500)
Rh (0.564, 0.697, 0.500)
Rh (0.697, 0.436, 0.500)
Rh (0.803, 0.936, 0.500)
Rh (0.936, 0.197, 0.500)

***

Record 3
Crystalline Dy3Al9Ru2 at its relaxed geometry, computed with GGA-PBE.

Values from the calculation:
Space group = Immm
Final energy = -5.288 eV per atom

abc: 8.127 8.127 8.127
angles: 149.04 107.98 80.43
Positions (direct):
Dy (0.000, 0.000, 0.000)
Dy (0.298, 0.298, 0.000)
Dy (0.702, 0.702, 0.000)
Al (0.010, 0.649, 0.361)
Al (0.156, 0.873, 0.283)
Al (0.288, 0.649, 0.639)
Al (0.410, 0.127, 0.283)
Al (0.500, 0.000, 0.500)
Al (0.590, 0.873, 0.717)
Al (0.712, 0.351, 0.361)
Al (0.844, 0.127, 0.717)
Al (0.990, 0.351, 0.639)
Ru (0.328, 0.500, 0.828)
Ru (0.672, 0.500, 0.172)